(1)
Compound: MgZn2Bi
Source: Alexandria via LeMat-Bulk
Functional: PBE-GGA
Structure: optimized geometry

M_tot	0.00	μB/f.u.
calculated formation energy	83.9	meV/atom
density of states at the Fermi level	3.60	states/eV/cell
ρ	6.4	g/cm3

abc: 10.116 10.116 10.116
angles: 154.64 154.64 36.17
Fractional coordinates of all 8 atoms:
Mg (0.000, 0.000, 0.000)
Mg (0.750, 0.250, 0.500)
Zn (0.042, 0.625, 0.917)
Zn (0.375, 0.292, 0.417)
Zn (0.708, 0.125, 0.083)
Zn (0.875, 0.958, 0.583)
Bi (0.250, 0.750, 0.500)
Bi (0.500, 0.500, 0.000)

=====

(2)
Compound: ZrSiTc
Source: Alexandria via LeMat-Bulk
Functional: PBE-GGA
Structure: optimized geometry

M_tot	0.00	μB/f.u.
E above lowest polymorph	720	meV per atom
density of states at the Fermi level	3.31	states/eV/cell
energy relative to the elements, uncorrected	-15	kJ/mol of atoms
ρ	6.6	g/cm3

abc: 4.266 4.266 4.266
angles: 60.00 60.00 60.00
Fractional coordinates of all 3 atoms:
Zr (0.000, 0.000, 0.000)
Si (0.750, 0.750, 0.750)
Tc (0.500, 0.500, 0.500)

=====

(3)
Compound: K3Rb4F8
Source: Alexandria via LeMat-Bulk
Functional: PBE-GGA
Structure: optimized geometry

M_tot	1.26	μB/f.u.
density of states at the Fermi level	18.61	states/eV/cell
energy relative to the elements, uncorrected	-240	kJ/mol of atoms
ρ	2.9	g/cm3

abc: 7.944 7.944 7.894
angles: 119.57 119.57 90.42
Fractional coordinates of all 15 atoms:
K (0.000, 0.000, 0.000)
K (0.000, 0.500, 0.500)
K (0.500, 0.000, 0.500)
Rb (0.000, 0.000, 0.500)
Rb (0.000, 0.500, 0.000)
Rb (0.500, 0.000, 0.000)
Rb (0.500, 0.500, 0.000)
F (0.230, 0.230, 0.971)
F (0.233, 0.233, 0.490)
F (0.237, 0.763, 0.500)
F (0.246, 0.754, 0.000)
F (0.754, 0.246, 0.000)
F (0.763, 0.237, 0.500)
F (0.767, 0.767, 0.510)
F (0.770, 0.770, 0.029)

=====

(4)
Compound: Tm3Th2Sc
Source: Alexandria via LeMat-Bulk
Functional: PBE-GGA
Structure: optimized geometry

M_tot	0.00	μB/f.u.
E above lowest polymorph	0	meV per atom
calculated formation energy	28.3	meV/atom
density of states at the Fermi level	15.80	states/eV/cell
ρ	9.4	g/cm3

abc: 3.516 9.096 12.133
angles: 109.17 90.06 101.13
Fractional coordinates of all 12 atoms:
Tm (0.083, 0.165, 0.380)
Tm (0.086, 0.170, 0.872)
Tm (0.415, 0.832, 0.874)
Tm (0.585, 0.168, 0.126)
Tm (0.914, 0.830, 0.128)
Tm (0.917, 0.835, 0.620)
Th (0.249, 0.498, 0.625)
Th (0.250, 0.499, 0.126)
Th (0.750, 0.501, 0.874)
Th (0.751, 0.502, 0.375)
Sc (0.414, 0.829, 0.374)
Sc (0.586, 0.171, 0.626)